(1)
AcLu2Ru | Alexandria via LeMat-Bulk | PBE | relaxed; magnetic moment = 0.0 μB/cell; energy relative to the lowest polymorph listed for this composition = 0 meV per atom; energy = -5.87 eV per atom; energy of formation = -0.2585 eV/atom
1.0
3.465 0.000 0.000
0.000 3.465 0.000
0.000 0.000 9.108
Lu Ac Ru
2 1 1
direct
0.000 0.000 0.172
0.000 0.000 0.828
0.500 0.500 0.500
0.500 0.500 0.000



(2)
TePW2 | Alexandria via LeMat-Bulk | PBE | relaxed; magnetic moment = 0.0 μB/cell; energy relative to the lowest polymorph listed for this composition = 771 meV per atom; energy = -7.66 eV per atom; E_form (uncorrected) = 957 meV/atom
1.0
-1.625 -4.051 1.527
-4.409 -0.364 1.345
-3.009 -2.399 -2.564
W P Te
2 1 1
direct
0.000 0.000 0.000
0.750 0.750 0.750
0.500 0.500 0.500
0.250 0.250 0.250



(3)
Re3TcP | Alexandria via LeMat-Bulk | PBE | relaxed; magnetic moment = 0.3 μB/cell; energy relative to the lowest polymorph listed for this composition = 1405 meV per atom; energy = -8.22 eV per atom; energy of formation = 2.4016 eV/atom
1.0
4.665 0.000 0.000
0.000 4.665 0.000
0.000 0.000 4.665
Re Tc P
3 1 1
direct
0.000 0.000 0.500
0.000 0.500 0.000
0.500 0.000 0.000
0.000 0.000 0.000
0.500 0.500 0.500



(4)
RbAuI3 | Alexandria via LeMat-Bulk | PBE | relaxed; magnetic moment = 0.0 μB/cell; energy = -2.41 eV per atom; E_form (uncorrected) = -629 meV/atom
1.0
11.684 -0.106 -0.004
3.025 7.810 0.040
-0.228 1.616 5.110
I Rb Au
6 2 2
direct
0.421 0.235 0.694
0.190 0.510 0.797
0.824 0.807 0.304
0.570 0.739 0.732
0.676 0.315 0.343
0.139 0.079 0.505
0.339 0.709 0.215
0.906 0.353 0.853
0.996 0.914 0.434
0.624 0.024 0.525